(1)
The following is a PBE calculation of BePRhO2 after structural relaxation, from Alexandria.

Cell lengths 3.702, 3.702, 5.280 Å; angles 90.00, 90.00, 90.00 degrees
Space group P4/mmm (No. 123)
Asymmetric unit:
Be1 0.000 0.000 0.000 (multiplicity 1)
P1 0.500 0.500 0.000 (multiplicity 1)
Rh1 0.500 0.500 0.500 (multiplicity 1)
O1 0.000 0.500 0.500 (multiplicity 2)

## Properties
polymorph energy (0 for the lowest one): 499 meV/atom
formation energy without anion corrections: 169 meV/atom
calculated volume: 14.47 Å³ per atom
crystal system: tetragonal

(2)
The following is a PBE calculation of LiBeIn after structural relaxation, from Alexandria.

Cell lengths 6.089, 6.089, 6.089 Å; angles 90.00, 90.00, 90.00 degrees
Space group F-43m (No. 216)
Asymmetric unit:
Li1 0.000 0.000 0.000 (multiplicity 4)
Be1 0.000 0.000 0.500 (multiplicity 4)
In1 0.250 0.250 0.750 (multiplicity 4)

## Properties
calculated formation energy: 0.38 eV/atom
polymorph energy (0 for the lowest one): 345 meV/atom
calculated volume: 18.82 Å³ per atom
crystal system: cubic

(3)
The following is a PBE calculation of Al2BAsBr after structural relaxation, from Alexandria.

Cell lengths 5.129, 5.129, 4.218 Å; angles 90.00, 90.00, 90.00 degrees
Space group P4/mmm (No. 123)
Asymmetric unit:
Al1 0.000 0.500 0.000 (multiplicity 2)
B1 0.000 0.000 0.500 (multiplicity 1)
As1 0.500 0.500 0.500 (multiplicity 1)
Br1 0.000 0.000 0.000 (multiplicity 1)

## Properties
formation energy without anion corrections: 1414 meV/atom
calculated volume: 22.19 Å³ per atom
crystal system: tetragonal

(4)
The following is a PBE calculation of TbYPd after structural relaxation, from Alexandria.

Cell lengths 3.836, 11.857, 7.006 Å; angles 90.00, 90.00, 90.00 degrees
Space group Cmcm (No. 63)
Asymmetric unit:
Tb1 0.000 0.000 0.000 (multiplicity 4)
Y1 0.000 0.289 0.250 (multiplicity 4)
Pd1 0.000 0.390 0.750 (multiplicity 4)

## Properties
calculated formation energy: -0.57 eV/atom
polymorph energy (0 for the lowest one): 0 meV/atom
calculated volume: 26.56 Å³ per atom
crystal system: orthorhombic

no.,magnetization (μB per formula unit)
1,0.0
2,0.0
3,0.0
4,0.0